(1)
This record from Alexandria describes a relaxed structure of Dy8Sn2Ge. The functional is PBE.

Its symmetry is C2/m. Its energy relative to the elements is -0.42 eV per atom.

Structure (extended XYZ):
```
11
Lattice="9.716 -2.494 0.000 9.716 2.494 0.000 -1.633 0.000 6.509" Properties=species:S:1:pos:R:3 pbc="T T T"
Dy -0.021 0.000 1.800
Dy 2.914 0.000 5.357
Dy 5.944 0.000 3.238
Dy 7.908 0.000 0.219
Dy 9.890 0.000 6.290
Dy 11.854 0.000 3.271
Dy 14.883 0.000 1.153
Dy 17.818 0.000 4.710
Sn 3.101 0.000 1.687
Sn 14.697 0.000 4.822
Ge 8.899 0.000 3.255
```

(2)
This record from Alexandria describes a relaxed structure of B3P2. The functional is PBE.

Its symmetry is P1. Its energy relative to the elements is 0.27 eV per atom.

Structure (extended XYZ):
```
5
Lattice="3.179 0.000 0.000 -0.834 4.434 0.000 -1.436 -0.835 4.335" Properties=species:S:1:pos:R:3 pbc="T T T"
B 0.000 0.000 0.000
B -0.488 3.209 1.048
B 0.808 1.982 3.602
P 0.162 0.266 4.334
P 1.095 2.406 1.786
```

(3)
This record from Alexandria describes a relaxed structure of NaHfNb2. The functional is PBE.

Its symmetry is I-42d. Its energy relative to the elements is 0.98 eV per atom.

Structure (extended XYZ):
```
16
Lattice="4.050 0.000 0.000 0.000 4.050 0.000 0.000 0.000 20.482" Properties=species:S:1:pos:R:3 pbc="T T T"
Na 0.000 0.000 0.000
Na 0.000 2.025 5.121
Na 2.025 0.000 15.362
Na 2.025 2.025 10.241
Hf 0.000 0.000 10.241
Hf 0.000 2.025 15.362
Hf 2.025 0.000 5.121
Hf 2.025 2.025 0.000
Nb 0.947 1.012 12.801
Nb 1.012 2.972 17.922
Nb 1.012 3.102 7.681
Nb 1.077 1.012 2.560
Nb 2.972 3.037 2.560
Nb 3.037 0.947 7.681
Nb 3.037 1.077 17.922
Nb 3.102 3.037 12.801
```

(4)
This record from Alexandria describes a relaxed structure of Ca2MgZn4Ga3. The functional is PBE.

Its symmetry is P-4m2. Its energy relative to the elements is -0.30 eV per atom.

Structure (extended XYZ):
```
10
Lattice="4.267 0.000 0.000 0.000 4.267 0.000 0.000 0.000 11.074" Properties=species:S:1:pos:R:3 pbc="T T T"
Ca 0.000 2.134 2.633
Ca 2.134 0.000 8.441
Mg 0.000 0.000 5.537
Zn 0.000 0.000 0.000
Zn 0.000 2.134 7.129
Zn 2.134 0.000 3.944
Zn 2.134 2.134 0.000
Ga 0.000 2.134 9.620
Ga 2.134 0.000 1.454
Ga 2.134 2.134 5.537
```

(5)
This record from Alexandria describes a relaxed structure of Ce3InSb4. The functional is PBE.

Its symmetry is Pm-3m. Its uncorrected formation energy is -0.705 eV/atom.

Structure (extended XYZ):
```
8
Lattice="6.361 0.000 0.000 0.000 6.361 0.000 0.000 0.000 6.361" Properties=species:S:1:pos:R:3 pbc="T T T"
Ce 0.000 0.000 3.180
Ce 0.000 3.180 0.000
Ce 3.180 0.000 0.000
In 3.180 3.180 3.180
Sb 0.000 0.000 0.000
Sb 0.000 3.180 3.180
Sb 3.180 0.000 3.180
Sb 3.180 3.180 0.000
```

(6)
This record from Alexandria describes a relaxed structure of YSi2Hg. The functional is PBE.

Its symmetry is P4/mmm. Its uncorrected formation energy is -0.191 eV/atom.

Structure (extended XYZ):
```
4
Lattice="4.419 0.000 0.000 0.000 4.419 0.000 0.000 0.000 4.081" Properties=species:S:1:pos:R:3 pbc="T T T"
Y 0.000 0.000 0.000
Si 0.000 2.209 2.041
Si 2.209 0.000 2.041
Hg 2.209 2.209 0.000
```

(7)
This record from Alexandria describes a relaxed structure of Rb2Rh2Cl. The functional is PBE.

Its symmetry is I4/mmm. Its uncorrected formation energy is 0.257 eV/atom.

Structure (extended XYZ):
```
10
Lattice="6.659 0.000 0.000 0.000 6.659 0.000 0.000 0.000 7.513" Properties=species:S:1:pos:R:3 pbc="T T T"
Rb 0.000 3.330 1.878
Rb 0.000 3.330 5.635
Rb 3.330 0.000 1.878
Rb 3.330 0.000 5.635
Rh 0.000 0.000 1.158
Rh 0.000 0.000 6.355
Rh 3.330 3.330 2.599
Rh 3.330 3.330 4.915
Cl 0.000 0.000 3.757
Cl 3.330 3.330 0.000
```

(8)
This record from Alexandria describes a relaxed structure of PrHo3Tl. The functional is PBE.

Its symmetry is Cmcm. Its energy relative to the elements is -0.11 eV per atom.

Structure (extended XYZ):
```
10
Lattice="2.443 -12.752 0.000 2.443 12.752 0.000 0.000 0.000 4.839" Properties=species:S:1:pos:R:3 pbc="T T T"
Pr 2.443 8.999 3.629
Pr 2.443 -8.999 1.210
Ho 2.443 11.581 1.210
Ho 2.443 6.355 1.210
Ho 2.443 1.295 1.210
Ho 2.443 -1.295 3.629
Ho 2.443 -6.355 3.629
Ho 2.443 -11.581 3.629
Tl 2.443 3.939 3.629
Tl 2.443 -3.939 1.210
```

(9)
This record from Alexandria describes a relaxed structure of Pm4Ag3Pb. The functional is PBE.

Its symmetry is I4/mmm. Its energy relative to the elements is -0.33 eV per atom.

Structure (extended XYZ):
```
16
Lattice="5.323 0.000 0.000 0.000 5.323 0.000 0.000 0.000 15.270" Properties=species:S:1:pos:R:3 pbc="T T T"
Pm 0.000 2.662 1.973
Pm 0.000 2.662 5.662
Pm 0.000 2.662 9.608
Pm 0.000 2.662 13.298
Pm 2.662 0.000 1.973
Pm 2.662 0.000 5.662
Pm 2.662 0.000 9.608
Pm 2.662 0.000 13.298
Ag 0.000 0.000 0.000
Ag 0.000 0.000 3.780
Ag 0.000 0.000 11.491
Ag 2.662 2.662 3.855
Ag 2.662 2.662 7.635
Ag 2.662 2.662 11.415
Pb 0.000 0.000 7.635
Pb 2.662 2.662 0.000
```

(10)
This record from Alexandria describes a relaxed structure of TlCu2Mo. The functional is PBE.

Its symmetry is Immm. Its energy relative to the elements is 0.62 eV per atom.

Structure (extended XYZ):
```
8
Lattice="2.883 0.000 0.000 0.000 4.863 0.000 0.000 0.000 9.512" Properties=species:S:1:pos:R:3 pbc="T T T"
Tl 0.000 0.000 0.000
Tl 1.441 2.431 4.756
Cu 0.000 2.431 2.266
Cu 0.000 2.431 7.246
Cu 1.441 0.000 2.490
Cu 1.441 0.000 7.022
Mo 0.000 0.000 4.756
Mo 1.441 2.431 0.000
```

(11)
This record from Alexandria describes a relaxed structure of Sc5Cu. The functional is PBE.

Its symmetry is P6/mmm. Its energy relative to the elements is 0.65 eV per atom.

Structure (extended XYZ):
```
6
Lattice="5.766 0.000 0.000 -2.883 4.993 0.000 0.000 0.000 5.306" Properties=species:S:1:pos:R:3 pbc="T T T"
Sc -1.441 2.497 0.000
Sc 0.000 3.329 2.653
Sc 2.883 0.000 0.000
Sc 1.441 2.497 0.000
Sc 2.883 1.664 2.653
Cu 0.000 0.000 2.653
```

(12)
This record from Alexandria describes a relaxed structure of Dy5AlZn2. The functional is PBE.

Its symmetry is I4/mcm. Its energy relative to the elements is -0.24 eV per atom.

Structure (extended XYZ):
```
16
Lattice="-4.026 4.026 6.327 4.026 -4.026 6.327 4.026 4.026 -6.327" Properties=species:S:1:pos:R:3 pbc="T T T"
Dy 0.000 0.000 0.000
Dy 5.283 1.257 -1.882
Dy 1.257 2.769 -1.882
Dy 5.283 1.257 1.882
Dy 1.257 2.769 1.882
Dy 0.000 0.000 6.327
Dy 2.769 1.257 4.445
Dy -1.257 2.769 4.445
Dy 2.769 1.257 8.209
Dy -1.257 2.769 8.209
Al 0.000 0.000 3.164
Al 0.000 0.000 9.491
Zn 2.933 1.093 0.000
Zn 2.933 -1.093 6.327
Zn 1.093 5.118 0.000
Zn 1.093 2.933 6.327
```

Table of Fermi-level density of states (states/eV/f.u.), in record order: 10.820; 0.864; 5.083; 5.168; 21.269; 0.871; 6.722; 6.910; 8.866; 3.676; 9.089; 9.027
Table of uncorrected energy (eV per atom), in record order: -4.91; -5.90; -6.87; -2.28; -5.33; -4.59; -3.44; -4.29; -4.24; -4.72; -5.31; -3.91